Entry one
Entry from the Open Quantum Materials Database: a relaxed structure of NbCoSiHg (PBE-GGA).

The structure in POSCAR format:
```
NbCoSiHg
1.0
0.000 3.180 3.180
3.180 0.000 3.180
3.180 3.180 0.000
Nb Co Si Hg
1 1 1 1
Direct
0.000 0.000 0.000
0.750 0.750 0.750
0.500 0.500 0.500
0.250 0.250 0.250
```

***

Entry two
Entry from the Open Quantum Materials Database: a relaxed structure of NbCoSiHg (PBE-GGA).

The structure in POSCAR format:
```
NbCoSiHg
1.0
0.000 3.141 3.141
3.141 0.000 3.141
3.141 3.141 0.000
Nb Co Si Hg
1 1 1 1
Direct
0.000 0.000 0.000
0.500 0.500 0.500
0.250 0.250 0.250
0.750 0.750 0.750
```

***

Of the structures shown above, entry one is the least stable.